MgZrCl2 (PBE, relaxed); DOS at the Fermi energy = 2.195 states/eV/f.u.; crystal system = trigonal; E_form (uncorrected) = -100.1 kJ/mol of atoms; offset from the most stable computed form = 5.0 meV/atom
1.0
1.642 0.948 10.461
-1.642 0.948 10.461
0.000 -1.896 10.461
Mg Zr Cl
1 1 2
direct
0.000 0.000 0.000
0.500 0.500 0.500
0.226 0.226 0.226
0.774 0.774 0.774

MgZrCl2 (PBE, relaxed); DOS at the Fermi energy = 3.830 states/eV/f.u.; crystal system = tetragonal; E_form (uncorrected) = -30.6 kJ/mol of atoms; offset from the most stable computed form = 724.6 meV/atom
1.0
4.914 0.000 0.000
0.000 4.914 0.000
0.000 0.000 3.263
Mg Zr Cl
1 1 2
direct
0.000 0.000 0.000
0.500 0.500 0.000
0.000 0.500 0.500
0.500 0.000 0.500

MgZrCl2 (PBE, relaxed); DOS at the Fermi energy = 0.950 states/eV/f.u.; crystal system = orthorhombic; E_form (uncorrected) = -95.2 kJ/mol of atoms; offset from the most stable computed form = 55.7 meV/atom
1.0
1.959 -2.599 0.000
1.959 2.599 0.000
0.000 0.000 9.477
Mg Zr Cl
1 1 2
direct
0.000 0.000 0.000
0.500 0.500 0.257
0.000 0.000 0.443
0.500 0.500 0.846

MgZrCl (PBE, relaxed); DOS at the Fermi energy = 2.814 states/eV/f.u.; crystal system = cubic; E_form (uncorrected) = 50.4 kJ/mol of atoms; offset from the most stable computed form = 1178.5 meV/atom
1.0
0.000 3.465 3.465
3.465 0.000 3.465
3.465 3.465 0.000
Mg Zr Cl
1 1 1
direct
0.000 0.000 0.000
0.250 0.250 0.250
0.500 0.500 0.500

MgZrCl2 (PBE, relaxed); DOS at the Fermi energy = 3.217 states/eV/f.u.; crystal system = orthorhombic; E_form (uncorrected) = -68.0 kJ/mol of atoms; offset from the most stable computed form = 337.3 meV/atom
1.0
-1.599 2.238 6.508
1.599 -2.238 6.508
1.599 2.238 -6.508
Mg Zr Cl
1 1 2
direct
0.000 0.000 0.000
0.206 0.706 0.500
0.379 0.379 0.000
0.689 0.189 0.500

Mg2ZrCl (PBE, relaxed); DOS at the Fermi energy = 1.910 states/eV/f.u.; crystal system = tetragonal; E_form (uncorrected) = -36.5 kJ/mol of atoms; offset from the most stable computed form = 83.0 meV/atom
1.0
3.184 0.000 0.000
0.000 3.184 0.000
0.000 0.000 9.590
Mg Zr Cl
2 1 1
direct
0.000 0.000 0.000
0.500 0.500 0.223
0.000 0.000 0.451
0.500 0.500 0.623

In the order shown, the computed total magnetic moment values come out to 0.00, 0.65, 0.00, 2.78, 0.77, 0.00 μB/f.u..